[1]
This record from Alexandria via LeMat-Bulk describes KCa2La after structural relaxation. The functional is PBE.

Results
DFT formation energy in meV per atom: 125
SG: No. 166

a = 13.7575 Å, b = 13.7575 Å, c = 13.7575 Å
α = 16.28°, β = 16.28°, γ = 16.28°
Sites, in units of the cell vectors:
K (0.2500, 0.2500, 0.2500)
Ca (0.4932, 0.4932, 0.4932)
Ca (0.0068, 0.0068, 0.0068)
La (0.7500, 0.7500, 0.7500)


[2]
This record from Alexandria via LeMat-Bulk describes CsHfPS6 after structural relaxation. The functional is PBE.

Results
Formation energy (no corrections) in eV/atom: -0.51
SG: No. 149

a = 6.1852 Å, b = 6.1855 Å, c = 8.1868 Å
α = 90.01°, β = 90.00°, γ = 59.99°
Sites, in units of the cell vectors:
Hf (0.6667, 0.6667, 0.5000)
S (0.0353, 0.3480, 0.3368)
S (0.3479, 0.6167, 0.3368)
S (0.0352, 0.6168, 0.6631)
S (0.6167, 0.0353, 0.3368)
S (0.3480, 0.0353, 0.6632)
S (0.6167, 0.3480, 0.6632)
P (0.3333, 0.3333, 0.5000)
Cs (0.0000, 0.0000, 0.0000)


[3]
This record from Alexandria via LeMat-Bulk describes Fe2RePt after structural relaxation. The functional is PBE.

Results
DFT formation energy in meV per atom: 3
SG: No. 8

a = 4.6260 Å, b = 4.6260 Å, c = 4.6067 Å
α = 80.78°, β = 80.78°, γ = 33.58°
Sites, in units of the cell vectors:
Fe (0.9978, 0.9978, 0.0009)
Fe (0.2514, 0.2514, 0.2434)
Re (0.7496, 0.7496, 0.7598)
Pt (0.5012, 0.5012, 0.4959)


[4]
This record from Alexandria via LeMat-Bulk describes TiV2Co2 after structural relaxation. The functional is PBE.

Results
DFT formation energy in meV per atom: -68
SG: No. 127

a = 7.0413 Å, b = 7.0413 Å, c = 2.5975 Å
α = 90.00°, β = 90.00°, γ = 90.00°
Sites, in units of the cell vectors:
V (0.6530, 0.1530, 0.0000)
V (0.3470, 0.8470, 0.0000)
V (0.1530, 0.3470, 0.0000)
V (0.8470, 0.6530, 0.0000)
Co (0.3573, 0.1427, 0.5000)
Co (0.1427, 0.6427, 0.5000)
Co (0.8573, 0.3573, 0.5000)
Co (0.6427, 0.8573, 0.5000)
Ti (0.5000, 0.5000, 0.0000)
Ti (0.0000, 0.0000, 0.0000)


[5]
This record from Alexandria via LeMat-Bulk describes KTaZnSb2 after structural relaxation. The functional is PBE.

Results
Formation energy (no corrections) in eV/atom: 1.13
SG: No. 123

a = 5.2658 Å, b = 5.1351 Å, c = 5.2658 Å
α = 90.00°, β = 90.00°, γ = 90.00°
Sites, in units of the cell vectors:
Zn (0.0000, 0.0000, 0.0000)
Ta (0.5000, 0.5000, 0.5000)
K (0.0000, 0.5000, 0.0000)
Sb (0.5000, 0.0000, 0.0000)
Sb (0.0000, 0.0000, 0.5000)


[6]
This record from Alexandria via LeMat-Bulk describes Tb3PrDy after structural relaxation. The functional is PBE.

Results
DFT formation energy in meV per atom: 18
SG: No. 11

a = 9.6360 Å, b = 5.7438 Å, c = 6.3052 Å
α = 90.00°, β = 109.03°, γ = 90.00°
Sites, in units of the cell vectors:
Dy (0.5985, 0.9500, 0.9661)
Dy (0.4015, 0.4500, 0.0339)
Tb (0.2019, 0.9500, 0.7670)
Tb (0.0003, 0.4500, 0.8349)
Tb (0.7981, 0.4500, 0.2330)
Tb (0.9997, 0.9500, 0.1651)
Tb (0.5984, 0.4500, 0.6351)
Tb (0.4016, 0.9500, 0.3649)
Pr (0.7995, 0.9500, 0.5685)
Pr (0.2005, 0.4500, 0.4315)


What are the M_tot values for these records? In order: 0.0; 1.6; 4.3; 0.0; 3.0; 0.0 μB/cell.
What are the density of states at the Fermi level values for these records? In order: 5.2; 8.1; 3.2; 12.0; 4.4; 18.7 states/eV per cell.
What are the V values for these records? In order: 178.51; 271.24; 53.76; 64.39; 142.39; 164.95 Å³/f.u..